No. 1
VASP calculation (GGA-PBEsol) on a relaxed NaLi2PO4 crystal.

Structure (POSCAR):
```
NaLi2PO4
1.0
9.951 0.000 0.000
0.000 6.876 0.000
0.000 0.000 4.912
Na Li P O
4 8 4 16
direct
0.112 0.250 0.239
0.388 0.750 0.739
0.612 0.250 0.261
0.888 0.750 0.761
0.155 0.000 0.711
0.155 0.500 0.711
0.345 0.000 0.211
0.345 0.500 0.211
0.655 0.000 0.789
0.655 0.500 0.789
0.845 0.000 0.289
0.845 0.500 0.289
0.098 0.750 0.203
0.402 0.250 0.703
0.598 0.750 0.297
0.902 0.250 0.797
0.057 0.250 0.742
0.120 0.750 0.889
0.162 0.565 0.327
0.162 0.935 0.327
0.338 0.065 0.827
0.338 0.435 0.827
0.380 0.250 0.389
0.443 0.750 0.242
0.557 0.250 0.758
0.620 0.750 0.611
0.662 0.565 0.173
0.662 0.935 0.173
0.838 0.065 0.673
0.838 0.435 0.673
0.880 0.250 0.111
0.943 0.750 0.258
```

Results
Calculated volume   10.5 Å³/atom
Uncorrected formation energy   -2.356 eV per atom
Crystal system   orthorhombic

No. 2
VASP calculation (GGA-PBEsol) on a relaxed Zr3InF15 crystal.

Structure (POSCAR):
```
Zr3InF15
1.0
6.051 3.494 3.706
-6.051 3.494 3.706
0.000 -6.987 3.706
Zr In F
6 2 30
direct
0.180 0.750 0.320
0.250 0.680 0.820
0.320 0.180 0.750
0.680 0.820 0.250
0.750 0.320 0.180
0.820 0.250 0.680
0.250 0.250 0.250
0.750 0.750 0.750
0.021 0.785 0.779
0.037 0.463 0.750
0.048 0.150 0.674
0.150 0.674 0.048
0.174 0.650 0.548
0.215 0.221 0.979
0.221 0.979 0.215
0.250 0.963 0.537
0.279 0.285 0.521
0.285 0.521 0.279
0.326 0.952 0.850
0.350 0.452 0.826
0.452 0.826 0.350
0.463 0.750 0.037
0.479 0.721 0.715
0.521 0.279 0.285
0.537 0.250 0.963
0.548 0.174 0.650
0.650 0.548 0.174
0.674 0.048 0.150
0.715 0.479 0.721
0.721 0.715 0.479
0.750 0.037 0.463
0.779 0.021 0.785
0.785 0.779 0.021
0.826 0.350 0.452
0.850 0.326 0.952
0.952 0.850 0.326
0.963 0.537 0.250
0.979 0.215 0.221
```

Results
Calculated volume   12.4 Å³/atom
Uncorrected formation energy   -3.501 eV per atom
Crystal system   trigonal

No. 3
VASP calculation (GGA-PBEsol) on a relaxed Sc2ZnSb crystal.

Structure (POSCAR):
```
Sc2ZnSb
1.0
3.964 0.000 0.000
0.000 4.010 0.000
0.000 0.000 10.499
Sc Zn Sb
4 2 2
direct
0.000 0.000 0.000
0.000 0.500 0.500
0.500 0.000 0.285
0.500 0.500 0.785
0.500 0.000 0.544
0.500 0.500 0.044
0.000 0.000 0.721
0.000 0.500 0.221
```

Results
Calculated volume   20.9 Å³/atom
ΔE to the lowest computed polymorph   0 meV per atom
Uncorrected formation energy   -0.647 eV per atom
Crystal system   orthorhombic

No. 4
VASP calculation (GGA-PBEsol) on a relaxed FeTeC3 crystal.

Structure (POSCAR):
```
FeTeC3
1.0
3.825 0.000 0.000
0.000 3.825 0.000
0.000 0.000 3.825
Fe Te C
1 1 3
direct
0.000 0.000 0.000
0.500 0.500 0.500
0.000 0.000 0.500
0.000 0.500 0.000
0.500 0.000 0.000
```

Results
Calculated volume   11.2 Å³/atom
Uncorrected formation energy   1.967 eV per atom
Crystal system   cubic

No. 5
VASP calculation (GGA-PBEsol) on a relaxed CrIrOs crystal.

Structure (POSCAR):
```
CrIrOs
1.0
5.786 0.000 0.000
0.000 5.786 0.000
0.000 0.000 5.786
Cr Ir Os
4 4 4
direct
0.000 0.000 0.000
0.000 0.500 0.500
0.500 0.000 0.500
0.500 0.500 0.000
0.250 0.250 0.750
0.250 0.750 0.250
0.750 0.250 0.250
0.750 0.750 0.750
0.000 0.000 0.500
0.000 0.500 0.000
0.500 0.000 0.000
0.500 0.500 0.500
```

Results
Calculated volume   16.1 Å³/atom
Crystal system   cubic
ΔE_f   816 meV per atom

No. 6
VASP calculation (GGA-PBEsol) on a relaxed YZr3 crystal.

Structure (POSCAR):
```
YZr3
1.0
4.556 0.000 0.000
0.000 4.556 0.000
0.000 0.000 4.556
Y Zr
1 3
direct
0.000 0.000 0.000
0.000 0.500 0.500
0.500 0.000 0.500
0.500 0.500 0.000
```

Results
Calculated volume   23.6 Å³/atom
ΔE to the lowest computed polymorph   65 meV per atom
Crystal system   cubic
ΔE_f   125 meV per atom